Entry 1:
This record from the Alexandria database describes AcHo12Er6 after structural relaxation. The functional is PBE-GGA. Values from VASP.

Symmetry: No. 166
Crystal system: trigonal
ΔH_f (0 K): 0.4183 eV per atom

Geometry as Quantum ESPRESSO input:
```
&SYSTEM
  ibrav = 0, nat = 19, ntyp = 3
/
ATOMIC_SPECIES
Ac 227.00 Ac.upf
Ho 164.93 Ho.upf
Er 167.26 Er.upf
CELL_PARAMETERS angstrom
8.931 -1.058 -1.915
-2.135 8.736 -1.915
-0.936 -1.058 9.086
ATOMIC_POSITIONS angstrom
Ac 0.000 0.000 0.000
Ho 7.227 -0.494 2.628
Ho 2.706 0.563 2.427
Ho 2.438 2.755 -0.034
Ho 5.629 3.865 2.828
Ho 3.421 3.865 5.289
Ho 3.153 6.057 2.828
Ho 2.464 7.113 -1.645
Ho -0.902 3.310 6.900
Ho -1.368 7.113 2.628
Ho 3.395 -0.494 6.900
Ho 6.761 3.310 -1.645
Ho 0.230 2.755 2.427
Er 5.001 0.877 4.486
Er 4.488 5.070 -0.224
Er 0.263 5.070 4.486
Er 1.371 1.549 5.479
Er 0.858 5.743 0.770
Er 5.596 1.549 0.770
```



Entry 2:
This record from the Alexandria database describes NaLi2As2 after structural relaxation. The functional is PBE-GGA. Values from VASP.

Symmetry: No. 139
Crystal system: tetragonal
ΔE to the lowest computed polymorph: 1.07 eV/f.u.
ΔH_f (0 K): -0.2727 eV per atom

Geometry as Quantum ESPRESSO input:
```
&SYSTEM
  ibrav = 0, nat = 5, ntyp = 3
/
ATOMIC_SPECIES
Na 22.99 Na.upf
As 74.92 As.upf
Li 6.94 Li.upf
CELL_PARAMETERS angstrom
4.589 0.000 0.000
0.000 4.589 0.000
2.294 2.294 4.881
ATOMIC_POSITIONS angstrom
Na 0.000 0.000 0.000
As 4.589 2.294 2.441
As 2.294 4.589 2.441
Li 2.294 2.294 1.371
Li 4.589 4.589 3.511
```



Entry 3:
This record from the Alexandria database describes AcDy3Ho8 after structural relaxation. The functional is PBE-GGA. Values from VASP.

Symmetry: No. 44
Crystal system: orthorhombic
ΔH_f (0 K): 0.0250 eV per atom

Geometry as Quantum ESPRESSO input:
```
&SYSTEM
  ibrav = 0, nat = 12, ntyp = 3
/
ATOMIC_SPECIES
Ac 227.00 Ac.upf
Dy 162.50 Dy.upf
Ho 164.93 Ho.upf
CELL_PARAMETERS angstrom
6.948 0.368 -4.834
-3.007 7.842 -1.156
-1.689 -0.368 8.294
ATOMIC_POSITIONS angstrom
Ac 0.864 0.000 0.568
Dy 0.826 5.951 -1.223
Dy 1.456 1.891 3.546
Dy -1.470 3.737 4.146
Ho 2.202 2.760 -1.437
Ho -0.161 6.442 2.178
Ho 3.492 5.450 -3.399
Ho 4.189 1.400 1.294
Ho -0.543 3.282 0.802
Ho 5.082 0.887 -2.018
Ho 2.774 4.560 1.488
Ho -2.850 6.955 4.310
```



Entry 4:
This record from the Alexandria database describes Tl2CrSe after structural relaxation. The functional is PBE-GGA. Values from VASP.

ΔE_f (raw): 0.23 eV per atom
Symmetry: No. 139
Crystal system: tetragonal
ΔE to the lowest computed polymorph: 0.99 eV/f.u.

Geometry as Quantum ESPRESSO input:
```
&SYSTEM
  ibrav = 0, nat = 4, ntyp = 3
/
ATOMIC_SPECIES
Cr 52.00 Cr.upf
Se 78.96 Se.upf
Tl 204.38 Tl.upf
CELL_PARAMETERS angstrom
6.371 0.000 0.000
3.548 5.291 0.000
-4.959 -2.645 2.999
ATOMIC_POSITIONS angstrom
Cr 1.774 2.646 1.499
Se 3.185 0.000 1.499
Tl 0.000 0.000 0.000
Tl 4.959 2.645 0.000
```



Entry 5:
This record from the Alexandria database describes Tb11O20 after structural relaxation. The functional is PBE-GGA. Values from VASP.

ΔE_f (raw): -3.00 eV per atom
Symmetry: No. 2
Crystal system: triclinic
ΔE to the lowest computed polymorph: 0.31 eV/f.u.

Geometry as Quantum ESPRESSO input:
```
&SYSTEM
  ibrav = 0, nat = 31, ntyp = 2
/
ATOMIC_SPECIES
Tb 158.93 Tb.upf
O 16.00 O.upf
CELL_PARAMETERS angstrom
-4.215 -0.906 -5.161
5.230 -3.332 -1.989
-4.072 -8.006 5.177
ATOMIC_POSITIONS angstrom
Tb 0.000 0.000 0.000
Tb -1.280 -2.114 -3.171
Tb -1.776 -10.131 1.199
Tb 1.877 -3.587 -0.663
Tb -4.933 -8.657 -1.309
Tb -1.805 -3.580 0.845
Tb -1.251 -8.665 -2.817
Tb 0.516 -5.369 -3.666
Tb -3.572 -6.875 1.694
Tb -3.041 -5.354 -2.253
Tb -0.016 -6.890 0.281
O 1.890 -4.140 -5.067
O -4.947 -8.104 3.095
O -4.432 -6.490 -0.451
O 1.375 -5.755 -1.521
O -5.044 -4.277 -2.173
O 1.987 -7.968 0.201
O -3.802 -9.098 0.627
O 0.745 -3.146 -2.599
O -2.350 -2.213 -5.277
O -0.706 -10.031 3.305
O -0.893 -6.505 -1.888
O -2.163 -5.739 -0.084
O -1.534 -4.376 -3.670
O -1.523 -7.868 1.698
O -6.896 -7.546 -1.130
O 3.840 -4.699 -0.842
O -0.594 -9.099 -0.559
O -2.462 -3.145 -1.413
O 0.251 -4.563 0.662
O -3.307 -7.681 -2.634
```



Entry 6:
This record from the Alexandria database describes Na7Tl3Ag after structural relaxation. The functional is PBE-GGA. Values from VASP.

Symmetry: No. 63
Crystal system: orthorhombic
ΔE to the lowest computed polymorph: 0.00 eV/f.u.
ΔH_f (0 K): -0.0442 eV per atom

Geometry as Quantum ESPRESSO input:
```
&SYSTEM
  ibrav = 0, nat = 22, ntyp = 3
/
ATOMIC_SPECIES
Na 22.99 Na.upf
Tl 204.38 Tl.upf
Ag 107.87 Ag.upf
CELL_PARAMETERS angstrom
3.560 0.000 0.000
-1.780 15.271 0.000
0.000 0.000 11.904
ATOMIC_POSITIONS angstrom
Na 0.000 11.076 8.928
Na 1.780 4.194 2.976
Na 0.000 14.357 4.568
Na 1.780 0.914 7.336
Na 1.780 0.914 10.520
Na 0.000 14.357 1.384
Na 0.000 11.016 5.299
Na 1.780 4.254 6.605
Na 0.000 6.882 4.694
Na 1.780 8.388 7.210
Na 1.780 8.388 10.646
Na 0.000 6.882 1.258
Na 0.000 11.016 0.653
Na 1.780 4.254 11.250
Tl 0.000 1.958 4.624
Tl 1.780 13.313 7.280
Tl 0.000 6.052 8.928
Tl 1.780 9.218 2.976
Tl 0.000 1.958 1.328
Tl 1.780 13.313 10.575
Ag 1.780 12.210 2.976
Ag 0.000 3.061 8.928
```